Record 1
## TePd2Au2 (PBE-GGA)

Data for a relaxed TePd2Au2 crystal.

Its density is 12830 kg/m³. Its energy relative to the lowest polymorph listed for this composition is 54 meV per atom. The uncorrected formation energy comes out at 0.018 eV/atom. The total magnetization is 0.000 μB per formula unit. The value obtained for the density of states at the Fermi level is 0.366 states/eV/atom.

The space group is P4/mbm (No. 127) and the conventional cell measures 7.781, 7.781 and 3.140 Å, with angles of 90.00, 90.00 and 90.00 degrees. The distinct sites, in fractional coordinates, are Te at (0.000, 0.000, 0.000), Pd at (0.156, 0.344, 0.500) and Au at (0.139, 0.639, 0.000).

=====

Record 2
## Mn2OsW (PBE-GGA)

Data for a relaxed Mn2OsW crystal.

Its density is 14688 kg/m³. The energy relative to the elements comes out at 0.670 eV/f.u. The total magnetization is 3.777 μB per formula unit. The value obtained for the density of states at the Fermi level is 0.734 states/eV/atom.

The space group is P2/m (No. 10) and the conventional cell measures 2.653, 4.071 and 5.219 Å, with angles of 90.00, 103.96 and 90.00 degrees. The distinct sites, in fractional coordinates, are Mn at (0.228, 0.000, 0.244), Os at (0.500, 0.500, 0.000) and W at (0.000, 0.500, 0.500).